Below is Ce3PmHo2Se6 after structural relaxation, with properties calculated at the PBE-GGA level.

Geometry as extended XYZ:
```
12
Lattice="-2.671 4.750 -4.652 -3.606 -1.573 5.988 5.350 3.985 2.838" Properties=species:S:1:pos:R:3 pbc="T T T"
Ce -0.778 1.450 5.673
Ce -0.148 5.712 -1.499
Ce -0.463 3.581 2.087
Pm 0.000 0.000 0.000
Ho -3.294 0.532 2.446
Ho -2.982 2.645 -1.110
Se -0.484 6.480 1.340
Se -3.360 3.292 1.661
Se -0.443 0.683 2.834
Se -0.802 4.325 4.967
Se 2.434 3.870 2.513
Se -0.124 2.838 -0.793
```

Properties
E_tot = -6.185 eV per atom
Energy relative to the elements, uncorrected = -1801 meV per atom